[1]
Compound: MoP2Rh
Source: Alexandria via LeMat-Bulk
Functional: PBE
Structure: optimized geometry

## Properties
space-group type	P4mm, No. 99
total moment	0.000	μB per atom
ΔH_f (0 K)	-0.07	eV/atom
DOS(E_F)	0.872	states/eV/atom

a = 2.9526 Å, b = 2.9526 Å, c = 7.4361 Å
α = 90.00°, β = 90.00°, γ = 90.00°
Atoms (fractional coordinates):
Mo1 0.5000 0.5000 0.7578
P1 0.0000 0.0000 0.9362
P2 0.5000 0.5000 0.3175
Rh1 0.0000 0.0000 0.4886

[2]
Compound: MoP2Rh
Source: Alexandria via LeMat-Bulk
Functional: PBE
Structure: optimized geometry

## Properties
space-group type	Fm-3m, No. 225
total moment	0.000	μB per atom
ΔH_f (0 K)	-0.32	eV/atom
DOS(E_F)	0.335	states/eV/atom

a = 4.2350 Å, b = 4.2350 Å, c = 4.2350 Å
α = 60.00°, β = 60.00°, γ = 60.00°
Atoms (fractional coordinates):
P1 0.7500 0.7500 0.7500
P2 0.2500 0.2500 0.2500
Rh1 0.5000 0.5000 0.5000
Mo1 0.0000 0.0000 0.0000

[3]
Compound: Mo2PRh
Source: Alexandria via LeMat-Bulk
Functional: PBE
Structure: optimized geometry

## Properties
space-group type	Cmmm, No. 65
total moment	0.000	μB per atom
ΔH_f (0 K)	-0.02	eV/atom
DOS(E_F)	1.007	states/eV/atom

a = 4.7779 Å, b = 4.7779 Å, c = 2.8481 Å
α = 90.00°, β = 90.00°, γ = 116.84°
Atoms (fractional coordinates):
Rh1 0.5000 0.5000 0.5000
P1 0.0000 0.0000 0.5000
Mo1 0.5000 0.0000 0.0000
Mo2 0.0000 0.5000 0.0000

[4]
Compound: MoP3Rh
Source: Alexandria via LeMat-Bulk
Functional: PBE
Structure: optimized geometry

## Properties
space-group type	Pm-3m, No. 221
energy above the lowest structure with this stoichiometry	0	meV per atom
total moment	0.000	μB per atom
ΔH_f (0 K)	0.79	eV/atom
DOS(E_F)	0.574	states/eV/atom

a = 4.6121 Å, b = 4.6121 Å, c = 4.6121 Å
α = 90.00°, β = 90.00°, γ = 90.00°
Atoms (fractional coordinates):
Rh1 0.5000 0.5000 0.5000
P1 0.0000 0.0000 0.5000
P2 0.0000 0.5000 0.0000
P3 0.5000 0.0000 0.0000
Mo1 0.0000 0.0000 0.0000

Question: Which formula does entry 4 have?
Answer: MoP3Rh